# TlCuPC (GGA-PBE, optimized geometry)
# E   -36.04 eV per cell
# E above lowest polymorph   0.341 eV per atom
data_TlCuPC
_chemical_formula_sum 'Tl2 Cu2 P2 C2'
_symmetry_space_group_name_H-M 'C 1 m 1'
_symmetry_Int_Tables_number 8
_cell_length_a 9.8426
_cell_length_b 3.9512
_cell_length_c 5.4038
_cell_angle_alpha 90.00
_cell_angle_beta 108.98
_cell_angle_gamma 90.00
loop_
_symmetry_equiv_pos_as_xyz
'x,y,z'
'x,-y,z'
'x+1/2,y+1/2,z'
'x+1/2,-y+1/2,z'
loop_
_atom_site_label
_atom_site_fract_x
_atom_site_fract_y
_atom_site_fract_z
Tl1 0.0000 0.0000 0.0000
Cu1 0.2207 0.5000 0.9669
P1 0.1390 0.5000 0.5400
C1 0.1906 0.5000 0.2844

***

# TlCuPC (GGA-PBE, optimized geometry)
# E   -19.38 eV per cell
# E above lowest polymorph   0.000 eV per atom
data_TlCuPC
_chemical_formula_sum 'Tl1 Cu1 P1 C1'
_symmetry_space_group_name_H-M 'P 1'
_symmetry_Int_Tables_number 1
_cell_length_a 2.9644
_cell_length_b 5.2508
_cell_length_c 5.6941
_cell_angle_alpha 97.54
_cell_angle_beta 105.00
_cell_angle_gamma 106.36
loop_
_symmetry_equiv_pos_as_xyz
'x,y,z'
loop_
_atom_site_label
_atom_site_fract_x
_atom_site_fract_y
_atom_site_fract_z
Tl1 0.0000 0.0000 0.0000
Cu1 0.2711 0.0014 0.5224
P1 0.0257 0.5559 0.4786
C1 0.4476 0.3770 0.5012

***

# TlCuPC (GGA-PBE, optimized geometry)
# E   -19.15 eV per cell
# E above lowest polymorph   0.057 eV per atom
data_TlCuPC
_chemical_formula_sum 'Tl1 Cu1 P1 C1'
_symmetry_space_group_name_H-M 'P 1 m 1'
_symmetry_Int_Tables_number 6
_cell_length_a 3.8400
_cell_length_b 2.9669
_cell_length_c 6.3037
_cell_angle_alpha 90.00
_cell_angle_beta 90.33
_cell_angle_gamma 90.00
loop_
_symmetry_equiv_pos_as_xyz
'x,y,z'
'x,-y,z'
loop_
_atom_site_label
_atom_site_fract_x
_atom_site_fract_y
_atom_site_fract_z
Tl1 0.0000 0.0000 0.0000
Cu1 0.1080 0.5000 0.3939
P1 0.4810 0.0000 0.6217
C1 0.6213 0.5000 0.4879

***

# TlCuPC (GGA-PBE, optimized geometry)
# E   -18.94 eV per cell
# E above lowest polymorph   0.110 eV per atom
data_TlCuPC
_chemical_formula_sum 'Tl1 Cu1 P1 C1'
_symmetry_space_group_name_H-M 'P 1'
_symmetry_Int_Tables_number 1
_cell_length_a 2.9879
_cell_length_b 4.2600
_cell_length_c 6.0043
_cell_angle_alpha 89.75
_cell_angle_beta 77.07
_cell_angle_gamma 72.20
loop_
_symmetry_equiv_pos_as_xyz
'x,y,z'
loop_
_atom_site_label
_atom_site_fract_x
_atom_site_fract_y
_atom_site_fract_z
Tl1 0.0000 0.0000 0.0000
Cu1 0.6380 0.0604 0.6056
P1 0.4836 0.5608 0.4598
C1 0.9790 0.7001 0.3334

***

# PaCuC (GGA-PBE, optimized geometry)
# E   -43.31 eV per cell
# E above lowest polymorph   0.654 eV per atom
data_PaCuC
_chemical_formula_sum 'Pa2 Cu2 C2'
_symmetry_space_group_name_H-M 'I 4 m m'
_symmetry_Int_Tables_number 107
_symmetry_space_group_name_Hall 'I 4 -2'
_cell_length_a 3.3304
_cell_length_b 3.3304
_cell_length_c 9.5685
_cell_angle_alpha 90.00
_cell_angle_beta 90.00
_cell_angle_gamma 90.00
loop_
_atom_site_label
_atom_site_fract_x
_atom_site_fract_y
_atom_site_fract_z
Pa1 0.0000 0.0000 0.0000
Cu1 0.0000 0.0000 0.6963
C1 0.0000 0.0000 0.4583

***

# PaCuC (GGA-PBE, optimized geometry)
# E   -22.31 eV per cell
# E above lowest polymorph   0.435 eV per atom
data_PaCuC
_chemical_formula_sum 'Pa1 Cu1 C1'
_symmetry_space_group_name_H-M 'P 3 m 1'
_symmetry_Int_Tables_number 156
_cell_length_a 3.5833
_cell_length_b 3.5833
_cell_length_c 3.8402
_cell_angle_alpha 90.00
_cell_angle_beta 90.00
_cell_angle_gamma 120.00
loop_
_symmetry_equiv_pos_as_xyz
'x,y,z'
'-y,x-y,z'
'-x+y,-x,z'
'-y,-x,z'
'-x+y,y,z'
'x,x-y,z'
loop_
_atom_site_label
_atom_site_fract_x
_atom_site_fract_y
_atom_site_fract_z
Pa1 0.0000 0.0000 0.0000
Cu1 0.6667 0.3333 0.5000
C1 0.3333 0.6667 0.4980

***

| no. | calculated volume (A^3/atom) | N(E_F) (states/eV/atom) |
| --- | --- | --- |
| 1 | 24.84 | 0.33 |
| 2 | 20.03 | 0.26 |
| 3 | 17.95 | 0.28 |
| 4 | 17.69 | 0.37 |
| 5 | 17.69 | 0.46 |
| 6 | 14.23 | 0.71 |